(1)
Here is an optimized crystal structure of Cs2H2SeBr2 from Alexandria via LeMat-Bulk. Energies are from PBE.

Results
The calculation puts the total magnetization at 0.00 μB per formula unit. The value obtained for the energy is -19.634 eV for the cell shown.

Lattice parameters (Å, degrees): 4.3398 7.9367 7.1872 83.59 72.43 74.13
Fractional positions:
Cs: 0.4925 0.2931 0.7220
H: 0.8517 0.1504 0.1463
Br: 0.7937 0.6925 0.7200
Cs: 0.5075 0.7069 0.2780
Br: 0.2063 0.3075 0.2800
H: 0.1483 0.8496 0.8537
Se: 0.0000 0.0000 0.0000

***

(2)
Here is an optimized crystal structure of Cs2HSeBr6 from Alexandria via LeMat-Bulk. Energies are from PBE.

Results
The calculation puts the total magnetization at 0.00 μB per formula unit. The value obtained for the energy is -25.025 eV for the cell shown.

Lattice parameters (Å, degrees): 7.3116 7.3116 7.8824 62.37 62.37 90.00
Fractional positions:
Br: 0.7816 0.7816 0.4368
H: 0.5000 0.5000 0.0000
Br: 0.2184 0.2184 0.5632
Cs: 0.2500 0.7500 0.5000
Br: 0.2629 0.2629 0.0000
Br: 0.7371 0.7371 0.0000
Br: 0.7371 0.2629 0.0000
Br: 0.2629 0.7371 0.0000
Se: 0.0000 0.0000 0.0000
Cs: 0.7500 0.2500 0.5000

***

(3)
Here is an optimized crystal structure of Cs4HSeBr from Alexandria via LeMat-Bulk. Energies are from PBE.

Results
The calculation puts the total magnetization at 0.00 μB per formula unit. The value obtained for the energy is -18.796 eV for the cell shown.

Lattice parameters (Å, degrees): 5.6344 5.6344 10.3931 105.73 105.73 90.00
Fractional positions:
Cs: 0.1767 0.1767 0.3534
H: 0.9776 0.9776 0.9552
Se: 0.6353 0.6353 0.2706
Cs: 0.8194 0.8194 0.6388
Br: 0.3638 0.3638 0.7276
Cs: 0.5136 0.0136 0.0272
Cs: 0.0136 0.5136 0.0272

***

(4)
Here is an optimized crystal structure of Cs2SmHBr6 from Alexandria via LeMat-Bulk. Energies are from PBE.

Results
The calculation puts the total magnetization at 0.00 μB per formula unit. The value obtained for the energy is -34.714 eV for the cell shown.

Lattice parameters (Å, degrees): 7.8404 7.8324 8.9342 55.33 55.31 72.87
Fractional positions:
Br: 0.6825 0.3162 0.9999
Br: 0.7760 0.7761 0.4472
Cs: 0.2501 0.7505 0.4994
Br: 0.3175 0.6838 0.0001
Br: 0.2240 0.2239 0.5528
Br: 0.7764 0.7752 0.0004
Cs: 0.7499 0.2495 0.5006
Br: 0.2236 0.2248 0.9996
H: 0.5000 0.5000 0.0000
Sm: 0.0000 0.0000 0.0000

***

(5)
Here is an optimized crystal structure of CsSnH2Br8 from Alexandria via LeMat-Bulk. Energies are from PBE.

Results
The calculation puts the total magnetization at 0.00 μB per formula unit. The value obtained for the energy is -31.675 eV for the cell shown.

Lattice parameters (Å, degrees): 8.3480 6.3135 11.0770 90.33 90.30 48.12
Fractional positions:
Br: 0.4844 0.2522 0.4996
Br: 0.2497 0.6040 0.1799
Br: 0.2516 0.5963 0.8185
Sn: 0.0000 0.0000 0.0000
H: 0.5043 0.5011 0.1727
Br: 0.5156 0.7478 0.5004
Br: 0.2412 0.1071 0.0002
Br: 0.7484 0.4037 0.1815
Br: 0.7503 0.3960 0.8201
Br: 0.7588 0.8929 0.9998
H: 0.4957 0.4989 0.8273
Cs: 0.0000 0.0000 0.5000

***

(6)
Here is an optimized crystal structure of Cs2SnHBr6 from Alexandria via LeMat-Bulk. Energies are from PBE.

Results
The calculation puts the total magnetization at 1.00 μB per formula unit. The value obtained for the energy is -28.054 eV for the cell shown.

Lattice parameters (Å, degrees): 7.9075 7.9075 7.9445 60.15 60.15 90.00
Fractional positions:
Sn: 0.0000 0.0000 0.0000
Br: 0.2381 0.2381 0.0000
Br: 0.2381 0.7619 0.0000
Cs: 0.2500 0.7500 0.5000
Br: 0.7640 0.7640 0.4721
H: 0.5000 0.5000 0.0000
Cs: 0.7500 0.2500 0.5000
Br: 0.7619 0.7619 0.0000
Br: 0.7619 0.2381 0.0000
Br: 0.2360 0.2360 0.5279

***

(7)
Here is an optimized crystal structure of Cs2SrH2Br2 from Alexandria via LeMat-Bulk. Energies are from PBE.

Results
The calculation puts the total magnetization at 0.00 μB per formula unit. The value obtained for the energy is -21.652 eV for the cell shown.

Lattice parameters (Å, degrees): 5.0646 5.0646 9.9369 104.76 104.76 90.00
Fractional positions:
Br: 0.1650 0.1650 0.3300
Br: 0.8350 0.8350 0.6700
Sr: 0.0000 0.0000 0.0000
H: 0.5000 0.0000 0.0000
Cs: 0.6344 0.6344 0.2688
Cs: 0.3656 0.3656 0.7312
H: 0.0000 0.5000 0.0000

***

(8)
Here is an optimized crystal structure of CsTaHBr2 from Alexandria via LeMat-Bulk. Energies are from PBE.

Results
The calculation puts the total magnetization at 2.80 μB per formula unit. The value obtained for the energy is -18.081 eV for the cell shown.

Lattice parameters (Å, degrees): 5.0688 8.7551 5.0688 90.00 90.00 90.00
Fractional positions:
Br: 0.5000 0.0000 0.0000
Cs: 0.0000 0.5000 0.0000
H: 0.5000 0.5000 0.5000
Ta: 0.0000 0.0000 0.0000
Br: 0.0000 0.0000 0.5000

***

(9)
Here is an optimized crystal structure of CsTcH2Br8 from Alexandria via LeMat-Bulk. Energies are from PBE.

Results
The calculation puts the total magnetization at 1.93 μB per formula unit. The value obtained for the energy is -37.653 eV for the cell shown.

Lattice parameters (Å, degrees): 7.1730 6.7024 10.2469 114.06 99.64 64.73
Fractional positions:
Br: 0.6709 0.6646 0.4860
Br: 0.0372 0.3836 0.1221
H: 0.3073 0.5410 0.6529
H: 0.6927 0.4590 0.3471
Br: 0.3291 0.3354 0.5140
Br: 0.7333 0.1717 0.8411
Cs: 0.0000 0.0000 0.5000
Br: 0.2856 0.8652 0.8265
Br: 0.7144 0.1348 0.1735
Br: 0.9628 0.6164 0.8779
Tc: 0.0000 0.0000 0.0000
Br: 0.2667 0.8283 0.1589

***

(10)
Here is an optimized crystal structure of Cs2TcHBr6 from Alexandria via LeMat-Bulk. Energies are from PBE.

Results
The calculation puts the total magnetization at 4.00 μB per formula unit. The value obtained for the energy is -33.211 eV for the cell shown.

Lattice parameters (Å, degrees): 7.8024 7.8024 7.8141 60.05 60.05 90.00
Fractional positions:
Br: 0.7691 0.7691 0.0000
Cs: 0.7500 0.2500 0.5000
Cs: 0.2500 0.7500 0.5000
H: 0.5000 0.5000 0.0000
Br: 0.2301 0.2301 0.5397
Br: 0.7699 0.7699 0.4603
Br: 0.7691 0.2309 0.0000
Br: 0.2309 0.2309 0.0000
Tc: 0.0000 0.0000 0.0000
Br: 0.2309 0.7691 0.0000

***

(11)
Here is an optimized crystal structure of Cs4TeHBr from Alexandria via LeMat-Bulk. Energies are from PBE.

Results
The calculation puts the total magnetization at 0.00 μB per formula unit. The value obtained for the energy is -18.382 eV for the cell shown.

Lattice parameters (Å, degrees): 5.7307 5.7307 10.7984 105.39 105.39 90.00
Fractional positions:
H: 0.9744 0.9744 0.9487
Cs: 0.5081 0.0081 0.0162
Cs: 0.8252 0.8252 0.6503
Te: 0.6377 0.6377 0.2754
Cs: 0.1808 0.1808 0.3616
Br: 0.3658 0.3658 0.7317
Cs: 0.0081 0.5081 0.0162

***

(12)
Here is an optimized crystal structure of CsTeH2Br8 from Alexandria via LeMat-Bulk. Energies are from PBE.

Results
The calculation puts the total magnetization at 0.00 μB per formula unit. The value obtained for the energy is -29.618 eV for the cell shown.

Lattice parameters (Å, degrees): 9.0932 5.0690 15.8988 101.86 124.88 54.11
Fractional positions:
Br: 0.5251 0.7382 0.5222
Br: 0.7187 0.1629 0.7883
Br: 0.8186 0.5539 0.2890
Br: 0.4749 0.2618 0.4778
Br: 0.1814 0.4461 0.7110
Te: 0.0000 0.0000 0.0000
H: 0.4132 0.3040 0.7501
Br: 0.7689 0.8592 0.0131
Br: 0.2311 0.1408 0.9869
H: 0.5868 0.6960 0.2499
Cs: 0.0000 0.0000 0.5000
Br: 0.2813 0.8371 0.2117